[1]
MgFeCuPb | PBE-GGA | optimized geometry

Structure (CIF):
```
data_MgFeCuPb
_chemical_formula_sum 'Mg1 Fe1 Cu1 Pb1'
_symmetry_space_group_name_H-M 'P 1'
_symmetry_Int_Tables_number 1
_cell_length_a 4.512
_cell_length_b 4.512
_cell_length_c 4.512
_cell_angle_alpha 60.00
_cell_angle_beta 60.00
_cell_angle_gamma 60.00
loop_
_symmetry_equiv_pos_as_xyz
'x,y,z'
loop_
_atom_site_label
_atom_site_type_symbol
_atom_site_fract_x
_atom_site_fract_y
_atom_site_fract_z
Mg1 Mg 0.000 0.000 0.000
Fe1 Fe 0.250 0.250 0.250
Cu1 Cu 0.750 0.750 0.750
Pb1 Pb 0.500 0.500 0.500
```

## Properties
SG ... No. 216
DFT total energy ... -3.99 eV per atom
M_tot ... 2.14 μB per cell

[2]
MgFeCuRe | PBE-GGA | optimized geometry

Structure (CIF):
```
data_MgFeCuRe
_chemical_formula_sum 'Mg1 Fe1 Cu1 Re1'
_symmetry_space_group_name_H-M 'P 1'
_symmetry_Int_Tables_number 1
_cell_length_a 4.209
_cell_length_b 4.209
_cell_length_c 4.209
_cell_angle_alpha 60.00
_cell_angle_beta 60.00
_cell_angle_gamma 60.00
loop_
_symmetry_equiv_pos_as_xyz
'x,y,z'
loop_
_atom_site_label
_atom_site_type_symbol
_atom_site_fract_x
_atom_site_fract_y
_atom_site_fract_z
Mg1 Mg 0.000 0.000 0.000
Fe1 Fe 0.750 0.750 0.750
Cu1 Cu 0.250 0.250 0.250
Re1 Re 0.500 0.500 0.500
```

## Properties
SG ... No. 216
DFT total energy ... -6.22 eV per atom
M_tot ... 0.01 μB per cell